1.
A relaxed structure of Tb2PuIn, computed with PBE.

Output
* calculated volume: 120 Å³/cell
* M_tot: 1.59 μB per atom
* formation energy from the elements: 14 kJ per mole of atoms
* excess energy over the best structure of this formula in the dataset: 0.293 eV/atom
* crystal system: trigonal
* SG: No. 166
* raw total energy: -6.44 eV per atom

Cell: 3.422 3.422 11.985 Å, 81.79 81.79 60.00°
Last column: magnetic moment on the atom in μB.
Atoms (fractional coordinates):
Pu  0.000  0.000  0.000  5.78
Tb  0.907  0.907  0.279  0.05
In  0.500  0.500  0.500  0.00
Tb  0.093  0.093  0.721  0.05


2.
A relaxed structure of Tb2PuIn9, computed with PBE.

Output
* calculated volume: 301 Å³/cell
* M_tot: 0.47 μB per atom
* formation energy from the elements: -35 kJ per mole of atoms
* crystal system: tetragonal
* SG: No. 123
* raw total energy: -4.38 eV per atom

Cell: 4.644 4.644 13.956 Å, 90.00 90.00 90.00°
Last column: magnetic moment on the atom in μB.
Atoms (fractional coordinates):
In  0.500  0.000  0.166  0.00
In  0.500  0.500  0.000  0.01
In  0.000  0.500  0.834  0.00
In  0.000  0.500  0.166  0.00
In  0.500  0.000  0.500  -0.01
In  0.500  0.000  0.834  0.00
In  0.500  0.500  0.668  0.00
Tb  0.000  0.000  0.335  -0.01
Tb  0.000  0.000  0.665  -0.01
Pu  0.000  0.000  0.000  5.35
In  0.000  0.500  0.500  -0.01
In  0.500  0.500  0.332  0.00


3.
A relaxed structure of TbPu3In12, computed with PBE.

Output
* calculated volume: 403 Å³/cell
* M_tot: 1.06 μB per atom
* formation energy from the elements: -26 kJ per mole of atoms
* crystal system: tetragonal
* SG: No. 123
* raw total energy: -5.30 eV per atom

Cell: 4.660 4.660 18.572 Å, 90.00 90.00 90.00°
Last column: magnetic moment on the atom in μB.
Atoms (fractional coordinates):
In  0.500  0.500  0.500  0.01
Tb  0.000  0.000  0.000  -0.02
Pu  0.000  0.000  0.249  5.34
In  0.500  0.000  0.875  0.00
In  0.500  0.000  0.375  0.01
In  0.500  0.500  0.000  0.00
In  0.500  0.000  0.625  0.01
In  0.500  0.500  0.750  0.01
Pu  0.000  0.000  0.500  5.35
In  0.000  0.500  0.375  0.01
In  0.000  0.500  0.625  0.01
In  0.500  0.000  0.125  0.00
In  0.000  0.500  0.875  0.00
In  0.500  0.500  0.250  0.01
Pu  0.000  0.000  0.751  5.34
In  0.000  0.500  0.125  0.00